No. 1
Entry from the Alexandria database: an optimized crystal structure of PmYCuRh (PBE-GGA).

Lattice parameters (Å, degrees): 4.957 4.957 4.957 60.00 60.00 60.00
Element x y z (fractional)
Pm1 0.000 0.000 0.000
Y1 0.500 0.500 0.500
Cu1 0.250 0.250 0.250
Rh1 0.750 0.750 0.750

The density of states at the Fermi level is 0.8841 states/eV per atom. The calculation puts the calculated density at 7.72 g cm⁻³. Its total magnetic moment is 0.000 μB per formula unit. Its calculated formation energy is -11.3 kcal/mol of atoms. As for the energy relative to the lowest polymorph listed for this composition: 0.138 eV per formula unit.


No. 2
Entry from the Alexandria database: an optimized crystal structure of Pm2Zn5Cu2Rh (PBE-GGA).

Lattice parameters (Å, degrees): 9.424 9.424 4.016 90.00 90.00 90.00
Element x y z (fractional)
Pm1 0.187 0.313 0.000
Pm2 0.313 0.813 0.000
Pm3 0.687 0.187 0.000
Pm4 0.813 0.687 0.000
Zn1 0.000 0.500 0.500
Zn2 0.045 0.803 0.500
Zn3 0.197 0.045 0.500
Zn4 0.303 0.545 0.500
Zn5 0.455 0.303 0.500
Zn6 0.500 0.000 0.500
Zn7 0.545 0.697 0.500
Zn8 0.697 0.455 0.500
Zn9 0.803 0.955 0.500
Zn10 0.955 0.197 0.500
Cu1 0.109 0.609 0.000
Cu2 0.391 0.109 0.000
Cu3 0.609 0.891 0.000
Cu4 0.891 0.391 0.000
Rh1 0.000 0.000 0.000
Rh2 0.500 0.500 0.000

The density of states at the Fermi level is 0.5898 states/eV per atom. The calculation puts the calculated density at 7.89 g cm⁻³. Its total magnetic moment is 0.000 μB per formula unit. Its calculated formation energy is -5.5 kcal/mol of atoms.


No. 3
Entry from the Alexandria database: an optimized crystal structure of PmZn3CuRh (PBE-GGA).

Lattice parameters (Å, degrees): 7.147 7.147 5.373 90.00 90.00 130.15
Element x y z (fractional)
Pm1 0.212 0.788 0.750
Pm2 0.788 0.212 0.250
Zn1 0.206 0.206 0.000
Zn2 0.206 0.206 0.500
Zn3 0.361 0.639 0.250
Zn4 0.639 0.361 0.750
Zn5 0.794 0.794 0.000
Zn6 0.794 0.794 0.500
Cu1 0.426 0.574 0.750
Cu2 0.574 0.426 0.250
Rh1 0.155 0.845 0.250
Rh2 0.845 0.155 0.750

The density of states at the Fermi level is 0.5011 states/eV per atom. The calculation puts the calculated density at 8.04 g cm⁻³. Its total magnetic moment is 0.000 μB per formula unit. Its calculated formation energy is -5.7 kcal/mol of atoms.


No. 4
Entry from the Alexandria database: an optimized crystal structure of Pm2ZnCuRh2 (PBE-GGA).

Lattice parameters (Å, degrees): 8.265 8.265 8.265 139.47 59.01 139.01
Element x y z (fractional)
Pm1 0.166 0.242 0.409
Pm2 0.334 0.742 0.076
Pm3 0.666 0.258 0.924
Pm4 0.834 0.758 0.591
Zn1 0.250 0.750 0.500
Zn2 0.750 0.250 0.500
Cu1 0.250 0.250 0.000
Cu2 0.750 0.750 0.000
Rh1 0.120 0.743 0.863
Rh2 0.380 0.243 0.623
Rh3 0.620 0.757 0.377
Rh4 0.880 0.257 0.137

The density of states at the Fermi level is 0.4307 states/eV per atom. The calculation puts the calculated density at 8.71 g cm⁻³. Its total magnetic moment is 0.000 μB per formula unit. Its calculated formation energy is -12.3 kcal/mol of atoms.


No. 5
Entry from the Alexandria database: an optimized crystal structure of Pm2ZnCu2Rh5 (PBE-GGA).

Lattice parameters (Å, degrees): 9.341 9.341 3.858 90.00 90.00 90.00
Element x y z (fractional)
Pm1 0.177 0.323 0.000
Pm2 0.323 0.823 0.000
Pm3 0.677 0.177 0.000
Pm4 0.823 0.677 0.000
Zn1 0.000 0.000 0.000
Zn2 0.500 0.500 0.000
Cu1 0.121 0.621 0.000
Cu2 0.379 0.121 0.000
Cu3 0.621 0.879 0.000
Cu4 0.879 0.379 0.000
Rh1 0.000 0.500 0.500
Rh2 0.064 0.797 0.500
Rh3 0.203 0.064 0.500
Rh4 0.297 0.564 0.500
Rh5 0.436 0.297 0.500
Rh6 0.500 0.000 0.500
Rh7 0.564 0.703 0.500
Rh8 0.703 0.436 0.500
Rh9 0.797 0.936 0.500
Rh10 0.936 0.203 0.500

The density of states at the Fermi level is 1.0634 states/eV per atom. The calculation puts the calculated density at 9.84 g cm⁻³. Its total magnetic moment is 0.000 μB per formula unit. Its calculated formation energy is -8.9 kcal/mol of atoms.


No. 6
Entry from the Alexandria database: an optimized crystal structure of Pm2Zn12Cu3Rh (PBE-GGA).

Lattice parameters (Å, degrees): 11.671 11.671 11.671 28.60 28.60 28.60
Element x y z (fractional)
Pm1 0.141 0.141 0.141
Pm2 0.859 0.859 0.859
Zn1 0.099 0.099 0.647
Zn2 0.099 0.647 0.099
Zn3 0.111 0.608 0.608
Zn4 0.353 0.901 0.901
Zn5 0.392 0.392 0.889
Zn6 0.392 0.889 0.392
Zn7 0.608 0.111 0.608
Zn8 0.608 0.608 0.111
Zn9 0.647 0.099 0.099
Zn10 0.889 0.392 0.392
Zn11 0.901 0.353 0.901
Zn12 0.901 0.901 0.353
Cu1 0.000 0.500 0.500
Cu2 0.500 0.000 0.500
Cu3 0.500 0.500 0.000
Rh1 0.500 0.500 0.500

The density of states at the Fermi level is 0.5719 states/eV per atom. The calculation puts the calculated density at 7.06 g cm⁻³. Its total magnetic moment is 0.000 μB per formula unit. Its calculated formation energy is -1.6 kcal/mol of atoms.


No. 7
Entry from the Alexandria database: an optimized crystal structure of Pm4ZnCu2Rh (PBE-GGA).

Lattice parameters (Å, degrees): 8.754 8.754 8.754 33.69 33.69 33.69
Element x y z (fractional)
Pm1 0.120 0.120 0.120
Pm2 0.371 0.371 0.371
Pm3 0.629 0.629 0.629
Pm4 0.880 0.880 0.880
Zn1 0.500 0.500 0.500
Cu1 0.242 0.242 0.242
Cu2 0.758 0.758 0.758
Rh1 0.000 0.000 0.000

The density of states at the Fermi level is 0.6566 states/eV per atom. The calculation puts the calculated density at 7.91 g cm⁻³. Its total magnetic moment is 0.000 μB per formula unit. Its calculated formation energy is -8.1 kcal/mol of atoms.


No. 8
Entry from the Alexandria database: an optimized crystal structure of Pm2Zn2Cu5Rh (PBE-GGA).

Lattice parameters (Å, degrees): 9.742 9.742 3.564 90.00 90.00 90.00
Element x y z (fractional)
Pm1 0.179 0.321 0.000
Pm2 0.321 0.821 0.000
Pm3 0.679 0.179 0.000
Pm4 0.821 0.679 0.000
Zn1 0.119 0.619 0.000
Zn2 0.381 0.119 0.000
Zn3 0.619 0.881 0.000
Zn4 0.881 0.381 0.000
Cu1 0.000 0.500 0.500
Cu2 0.050 0.808 0.500
Cu3 0.192 0.050 0.500
Cu4 0.308 0.550 0.500
Cu5 0.450 0.308 0.500
Cu6 0.500 0.000 0.500
Cu7 0.550 0.692 0.500
Cu8 0.692 0.450 0.500
Cu9 0.808 0.950 0.500
Cu10 0.950 0.192 0.500
Rh1 0.000 0.000 0.000
Rh2 0.500 0.500 0.000

The density of states at the Fermi level is 0.5653 states/eV per atom. The calculation puts the calculated density at 8.26 g cm⁻³. Its total magnetic moment is 0.000 μB per formula unit. Its calculated formation energy is -1.8 kcal/mol of atoms.